LaPm4Sm5 | PBE | relaxed

- formation enthalpy at 0 K (eV per atom) = 0.14
- electronic total energy (eV per atom) = -4.617
- excess energy over the best structure of this formula in the dataset (meV/atom) = 118.0
- space group = C2/m, No. 12

a = 14.5206 Å, b = 14.5206 Å, c = 6.9355 Å
α = 97.26°, β = 97.26°, γ = 13.86°
With the nearest neighbours (Å) after each atom.
Element x y z (fractional)
La1 0.0000 0.0000 0.0000  2 Sm 3.47, 2 La 3.50, 6 Pm 3.57-3.69
Pm1 0.1087 0.1087 0.8040  4 Pm 3.50-3.85, 5 Sm 3.55-3.71, 1 La 3.57
Pm2 0.4048 0.4048 0.6952  4 Sm 3.49-3.66, 4 Pm 3.50-3.85, 2 La 3.69
Pm3 0.5952 0.5952 0.3048  4 Sm 3.49-3.66, 4 Pm 3.50-3.85, 2 La 3.69
Pm4 0.8913 0.8913 0.1960  4 Pm 3.50-3.85, 5 Sm 3.55-3.71, 1 La 3.57
Sm1 0.0000 0.0000 0.5000  2 La 3.47, 2 Sm 3.50, 6 Pm 3.55-3.66
Sm2 0.2938 0.2938 0.8984  8 Sm 3.46-3.59, 3 Pm 3.66-3.71
Sm3 0.2975 0.2975 0.3988  8 Sm 3.46-3.68, 3 Pm 3.49-3.65
Sm4 0.7025 0.7025 0.6012  8 Sm 3.46-3.68, 3 Pm 3.49-3.65
Sm5 0.7062 0.7062 0.1016  8 Sm 3.46-3.59, 3 Pm 3.66-3.71